First-principles (PBE) data for an optimized crystal structure of HfAlOs2, as listed in Alexandria via LeMat-Bulk.

Computed properties:
Calculated formation energy = 371 meV per atom
DFT total energy = -8.67 eV per atom
Space-group type = No. 122

Lattice parameters (Å, degrees): 6.964 6.964 5.677 52.17 52.17 90.00
Fractional positions:
Al (0.250, 0.750, 0.500)
Hf (0.000, 0.000, 0.000)
Os (0.375, 0.410, 0.750)
Os (0.160, 0.625, 0.250)
Hf (0.750, 0.250, 0.500)
Os (0.875, 0.840, 0.750)
Os (0.590, 0.125, 0.250)
Al (0.500, 0.500, 0.000)